a | PCl4 (PBE, relaxed); V = 38.89 Å³ per atom
1.0
6.868 -2.839 0.000
6.868 2.839 0.000
-5.747 0.000 9.973
P Cl
2 8
Direct
0.225 0.775 0.750
0.775 0.225 0.250
0.025 0.233 0.207
0.233 0.025 0.707
0.355 0.465 0.593
0.465 0.355 0.093
0.535 0.645 0.907
0.645 0.535 0.407
0.767 0.975 0.293
0.975 0.767 0.793

b | PCl4 (PBE, relaxed); V = 22.17 Å³ per atom
1.0
4.804 0.000 0.000
0.000 4.804 0.000
0.000 0.000 4.804
P Cl
1 4
Direct
0.000 0.000 0.000
0.000 0.000 0.500
0.000 0.500 0.000
0.500 0.000 0.000
0.500 0.500 0.500

Most stable structure, least stable structure: a, b.

a | PCl4 (PBE, relaxed); V = 22.63 Å³ per atom
1.0
-3.047 3.047 3.047
3.047 -3.047 3.047
3.047 3.047 -3.047
P Cl
1 4
Direct
0.000 0.000 0.000
0.000 0.000 0.500
0.000 0.500 0.000
0.500 0.000 0.000
0.500 0.500 0.500

b | PCl4 (PBE, relaxed); V = 36.81 Å³ per atom
1.0
-3.547 3.547 3.658
3.547 -3.547 3.658
3.547 3.547 -3.658
P Cl
1 4
Direct
0.000 0.000 0.000
0.250 0.750 0.500
0.281 0.281 0.000
0.719 0.719 0.000
0.750 0.250 0.500

c | PCl4 (PBE, relaxed); V = 31.44 Å³ per atom
1.0
-4.936 4.936 1.613
4.936 -4.936 1.613
4.936 4.936 -1.613
P Cl
1 4
Direct
0.000 0.000 0.000
0.303 0.436 0.738
0.436 0.697 0.133
0.564 0.303 0.867
0.697 0.564 0.262

Most stable structure, least stable structure: c, b.

a | P5Cl (PBE, relaxed); V = 24.74 Å³ per atom
1.0
4.533 0.000 0.000
0.000 2.357 6.947
0.000 -2.357 6.947
P Cl
5 1
Direct
0.000 0.000 0.000
0.000 0.156 0.156
0.000 0.580 0.580
0.500 0.074 0.074
0.500 0.540 0.540
0.500 0.391 0.391

b | P5Cl (PBE, relaxed); V = 19.90 Å³ per atom
1.0
4.414 0.000 0.000
0.000 2.116 6.391
0.000 -2.116 6.391
P Cl
5 1
Direct
0.000 0.000 0.000
0.000 0.183 0.183
0.000 0.591 0.591
0.500 0.079 0.079
0.500 0.654 0.654
0.500 0.360 0.360

c | P5Cl (PBE, relaxed); V = 21.76 Å³ per atom
1.0
0.000 4.026 4.026
4.026 0.000 4.026
4.026 4.026 0.000
P Cl
5 1
Direct
0.000 0.000 0.000
0.403 0.403 0.403
0.403 0.403 0.792
0.403 0.792 0.403
0.792 0.403 0.403
0.750 0.750 0.750

d | P5Cl (PBE, relaxed); V = 19.30 Å³ per atom
1.0
3.081 -1.722 0.000
3.081 1.722 0.000
-2.230 0.000 10.915
P Cl
5 1
Direct
0.000 0.000 0.000
0.119 0.119 0.376
0.357 0.357 0.108
0.516 0.516 0.494
0.774 0.774 0.253
0.732 0.732 0.663

Most stable structure, least stable structure: d, c.

a | PaPCl (PBE, relaxed); V = 27.39 Å³ per atom
1.0
2.239 1.293 9.464
-2.239 1.293 9.464
0.000 -2.585 9.464
Pa P Cl
2 2 2
Direct
0.227 0.227 0.227
0.773 0.773 0.773
0.132 0.132 0.132
0.868 0.868 0.868
0.384 0.384 0.384
0.616 0.616 0.616

b | PaPCl (PBE, relaxed); V = 25.95 Å³ per atom
1.0
-1.723 1.723 6.556
1.723 -1.723 6.556
1.723 1.723 -6.556
Pa P Cl
1 1 1
Direct
0.000 0.000 0.000
0.402 0.402 0.000
0.642 0.642 0.000

c | PaPCl (PBE, relaxed); V = 30.33 Å³ per atom
1.0
3.938 0.000 0.000
0.000 3.940 0.000
-1.846 0.000 11.730
Pa P Cl
2 2 2
Direct
0.187 0.250 0.365
0.813 0.750 0.635
0.302 0.250 0.610
0.698 0.750 0.390
0.087 0.250 0.152
0.913 0.750 0.848

d | PaPCl (PBE, relaxed); V = 21.61 Å³ per atom
1.0
4.555 0.000 0.000
-2.277 3.945 0.000
0.000 0.000 3.609
Pa P Cl
1 1 1
Direct
0.000 0.000 0.000
0.667 0.333 0.501
0.333 0.667 0.003

Most stable structure, least stable structure: c, d.

a | PPbCl (PBE, relaxed); V = 25.64 Å³ per atom
1.0
0.000 3.375 3.375
3.375 0.000 3.375
3.375 3.375 0.000
P Pb Cl
1 1 1
Direct
0.000 0.000 0.000
0.250 0.250 0.250
0.750 0.750 0.750

b | PPbCl (PBE, relaxed); V = 28.35 Å³ per atom
1.0
3.340 -2.097 0.000
3.340 2.097 0.000
-0.175 0.000 12.141
P Pb Cl
2 2 2
Direct
0.136 0.136 0.046
0.864 0.864 0.954
0.202 0.202 0.783
0.798 0.798 0.217
0.171 0.171 0.362
0.829 0.829 0.638

c | PPbCl (PBE, relaxed); V = 26.20 Å³ per atom
1.0
-1.698 1.698 6.814
1.698 -1.698 6.814
1.698 1.698 -6.814
P Pb Cl
1 1 1
Direct
0.000 0.000 0.000
0.359 0.359 0.000
0.722 0.722 0.000

Most stable structure, least stable structure: b, c.

a | P2PdPbCl (PBE, relaxed); V = 29.92 Å³ per atom
1.0
5.309 0.000 0.000
0.000 5.309 0.000
0.000 0.000 5.308
P Pd Pb Cl
2 1 1 1
Direct
0.000 0.500 0.000
0.500 0.000 0.000
0.000 0.000 0.500
0.500 0.500 0.000
0.500 0.500 0.500

b | P2PdPbCl (PBE, relaxed); V = 35.18 Å³ per atom
1.0
4.490 0.000 0.000
0.000 4.490 0.000
0.000 0.000 8.726
P Pd Pb Cl
2 1 1 1
Direct
0.000 0.500 0.000
0.500 0.000 0.000
0.000 0.000 0.000
0.500 0.500 0.500
0.000 0.000 0.500

Most stable structure, least stable structure: b, a.

a | PPtPbCl2 (PBE, relaxed); V = 25.73 Å³ per atom
1.0
5.293 0.000 0.000
0.000 5.293 0.000
0.000 0.000 4.592
P Pt Pb Cl
1 1 1 2
Direct
0.000 0.000 0.000
0.000 0.000 0.500
0.500 0.500 0.000
0.000 0.500 0.500
0.500 0.000 0.500

b | PPtPbCl2 (PBE, relaxed); V = 30.36 Å³ per atom
1.0
5.217 0.000 0.000
0.000 5.217 0.000
0.000 0.000 5.577
P Pt Pb Cl
1 1 1 2
Direct
0.000 0.000 0.000
0.500 0.500 0.000
0.000 0.000 0.500
0.000 0.500 0.500
0.500 0.000 0.500

Most stable structure, least stable structure: a, b.

a | RePPbCl2 (PBE, relaxed); V = 22.79 Å³ per atom
1.0
4.960 0.000 0.000
0.000 4.960 0.000
0.000 0.000 4.633
Re P Pb Cl
1 1 1 2
Direct
0.000 0.000 0.000
0.000 0.000 0.500
0.500 0.500 0.500
0.000 0.500 0.000
0.500 0.000 0.000

b | RePPbCl2 (PBE, relaxed); V = 31.22 Å³ per atom
1.0
5.320 0.000 0.000
0.000 5.320 0.000
0.000 0.000 5.516
Re P Pb Cl
1 1 1 2
Direct
0.000 0.000 0.000
0.500 0.500 0.000
0.500 0.500 0.500
0.000 0.500 0.500
0.500 0.000 0.500

Most stable structure, least stable structure: a, b.

a | ReP2PbCl (PBE, relaxed); V = 28.37 Å³ per atom
1.0
5.236 0.000 0.000
0.000 5.236 0.000
0.000 0.000 5.175
Re P Pb Cl
1 2 1 1
Direct
0.000 0.000 0.000
0.000 0.500 0.500
0.500 0.000 0.500
0.500 0.500 0.500
0.500 0.500 0.000

b | ReP2PbCl (PBE, relaxed); V = 22.31 Å³ per atom
1.0
4.614 0.000 0.000
0.000 4.614 0.000
0.000 0.000 5.239
Re P Pb Cl
1 2 1 1
Direct
0.000 0.000 0.000
0.000 0.500 0.000
0.500 0.000 0.000
0.500 0.500 0.500
0.000 0.000 0.500

Most stable structure, least stable structure: b, a.

a | PRuPbCl2 (PBE, relaxed); V = 23.42 Å³ per atom
1.0
5.091 0.000 0.000
0.000 5.091 0.000
0.000 0.000 4.517
P Ru Pb Cl
1 1 1 2
Direct
0.000 0.000 0.000
0.000 0.000 0.500
0.500 0.500 0.000
0.000 0.500 0.500
0.500 0.000 0.500

b | PRuPbCl2 (PBE, relaxed); V = 29.28 Å³ per atom
1.0
5.226 0.000 0.000
0.000 5.226 0.000
0.000 0.000 5.360
P Ru Pb Cl
1 1 1 2
Direct
0.000 0.000 0.000
0.500 0.500 0.000
0.000 0.000 0.500
0.000 0.500 0.500
0.500 0.000 0.500

Most stable structure, least stable structure: a, b.